7
Lattice="-2.982 0.650 -0.943 1.703 0.407 -5.106 -0.185 -5.320 2.330" Properties=species:S:1:pos:R:3 comment="V2WO4 (PBE with a Hubbard U, relaxed)" final_energy_ev_per_atom=-7.661 mass_density_g_cm3=6.858 sg=C2/m pbc="T T T"
O 0.300 -1.153 -1.742
O -1.763 -3.112 -1.977
O -0.248 -0.566 -5.015
O -1.216 -3.698 1.296
V -1.017 -1.564 -3.271
V -0.446 -2.700 -0.448
W 0.000 0.000 0.000